# CoTe2Pt, relaxed, DFT GGA-PBE
# Total magnetic moment ... 0.00 μB/atom
# Distance to the lowest polymorph of the same formula ... 0 meV per atom
# Calculated total energy ... -4.96 eV per atom
# ΔE_f (raw) ... -0.106 eV per atom
# Space group ... No. 160
data_CoTe2Pt
_cell_length_a 6.9405
_cell_length_b 6.9405
_cell_length_c 6.9405
_cell_angle_alpha 32.90
_cell_angle_beta 32.90
_cell_angle_gamma 32.90
_space_group_name_H-M_alt 'P 1'
_space_group_IT_number 1
_space_group_name_Hall 'P 1'
loop_
_atom_site_label
_atom_site_type_symbol
_atom_site_fract_x
_atom_site_fract_y
_atom_site_fract_z
Co1 Co 0.4912 0.4912 0.4912
Pt1 Pt 0.7653 0.7653 0.7653
Te1 Te 0.0288 0.0288 0.0288
Te2 Te 0.2147 0.2147 0.2147


# CoTe2Pt, relaxed, DFT GGA-PBE
# Total magnetic moment ... 0.40 μB/atom
# Distance to the lowest polymorph of the same formula ... 782 meV per atom
# Calculated total energy ... -4.18 eV per atom
# ΔE_f (raw) ... 0.676 eV per atom
# Space group ... No. 216
data_CoTe2Pt
_cell_length_a 4.8518
_cell_length_b 4.8518
_cell_length_c 4.8518
_cell_angle_alpha 60.00
_cell_angle_beta 60.00
_cell_angle_gamma 60.00
_space_group_name_H-M_alt 'P 1'
_space_group_IT_number 1
_space_group_name_Hall 'P 1'
loop_
_atom_site_label
_atom_site_type_symbol
_atom_site_fract_x
_atom_site_fract_y
_atom_site_fract_z
Co1 Co 0.5000 0.5000 0.5000
Pt1 Pt 0.7500 0.7500 0.7500
Te1 Te 0.0000 0.0000 0.0000
Te2 Te 0.2500 0.2500 0.2500


Among the records above, which one has the lowest ΔE_f (raw)? number 1


Which value of distance to the lowest polymorph of the same formula does entry 1 give? 0 meV per atom